LaCrO3: optimized geometry, PBE with a Hubbard U.

a = 5.7237 Å, b = 5.7237 Å, c = 17.4922 Å
α = 90.00°, β = 90.00°, γ = 120.00°
Last column: nearest neighbours and their distance in Å.
Space group R-3c (No. 167, hexagonal axes)
Unique sites:
La 0.0000 0.0000 0.0000 x6  6 O 2.46
Cr 0.0000 0.0000 0.2500 x6  3 O 1.77
O 0.0000 0.3090 0.2500 x18  1 Cr 1.77

Computed properties:
- total DFT energy (no corrections) (Ry/atom) = -0.5521
- volume (Å³ per atom) = 16.543